Entry 1:
## FeNi2Mo (GGA-PBE)

Data for a relaxed structure of FeNi2Mo.

Cell lengths 4.1108, 2.5366, 9.5277 Å; angles 97.68, 90.00, 90.00 degrees
Last column: nearest neighbours and their distance in Å.
Fractional coordinates of all 8 atoms:
Fe1 0.2500 0.8398 0.1788  5 Ni 2.41-2.48, 2 Fe 2.54
Fe2 0.7500 0.1602 0.8212  5 Ni 2.41-2.48, 2 Fe 2.54
Ni1 0.7500 0.7722 0.0465  4 Fe 2.41-2.48, 6 Ni 2.54-2.57
Ni2 0.7500 0.0332 0.5660  4 Ni 2.40-2.54, 1 Fe 2.41, 6 Mo 2.66-2.67
Mo1 0.7500 0.4075 0.3167  2 Mo 2.54, 6 Ni 2.66-2.67, 4 Fe 2.74-2.75
Ni3 0.2500 0.9668 0.4340  4 Ni 2.40-2.54, 1 Fe 2.41, 6 Mo 2.66-2.67
Mo2 0.2500 0.5925 0.6833  2 Mo 2.54, 6 Ni 2.66-2.67, 4 Fe 2.74-2.75
Ni4 0.2500 0.2278 0.9535  4 Fe 2.41-2.48, 6 Ni 2.54-2.57

Summary:
The mass density is 9.08 g/cm3. As for the formation energy: 21 meV/atom.

=====

Entry 2:
## Fe2NiMo (GGA-PBE)

Data for a relaxed structure of Fe2NiMo.

Cell lengths 3.6506, 3.6506, 3.5795 Å; angles 90.00, 90.00, 90.00 degrees
Last column: nearest neighbours and their distance in Å.
Fractional coordinates of all 4 atoms:
Mo1 0.5000 0.0000 0.5000  8 Fe 2.56, 4 Ni 2.58
Fe1 0.0000 0.0000 0.0000  4 Ni 2.56, 4 Mo 2.56, 4 Fe 2.58
Fe2 0.5000 0.5000 0.0000  4 Mo 2.56, 4 Ni 2.56, 4 Fe 2.58
Ni1 0.0000 0.5000 0.5000  8 Fe 2.56, 4 Mo 2.58

Summary:
The mass density is 9.27 g/cm3. As for the formation energy: 31 meV/atom.

=====

Entry 3:
## Fe2NiMo (GGA-PBE)

Data for a relaxed structure of Fe2NiMo.

Cell lengths 2.9746, 2.9746, 5.6836 Å; angles 90.00, 90.00, 90.00 degrees
Last column: nearest neighbours and their distance in Å.
Fractional coordinates of all 4 atoms:
Ni1 0.5000 0.5000 0.7500  8 Fe 2.48
Mo1 0.5000 0.5000 0.2500  8 Fe 2.60, 2 Ni 2.84
Fe1 0.0000 0.0000 0.5202  4 Ni 2.48, 4 Mo 2.60, 1 Fe 2.61
Fe2 0.0000 0.0000 0.9798  4 Ni 2.48, 4 Mo 2.60, 1 Fe 2.61

Summary:
The mass density is 8.79 g/cm3. As for the formation energy: 135 meV/atom.

=====

Entry 4:
## FeNi9Mo2 (GGA-PBE)

Data for a relaxed structure of FeNi9Mo2.

Cell lengths 5.7039, 4.4316, 6.2286 Å; angles 90.54, 68.33, 75.05 degrees
Last column: nearest neighbours and their distance in Å.
Fractional coordinates of all 12 atoms:
Ni1 0.2472 0.4190 0.9164  9 Ni 2.51-2.57, 2 Fe 2.54-2.56, 1 Mo 2.55
Ni2 0.5027 0.1637 0.1624  9 Ni 2.49-2.57, 1 Fe 2.53, 2 Mo 2.58-2.62
Ni3 0.7528 0.5810 0.0836  9 Ni 2.51-2.57, 2 Fe 2.54-2.56, 1 Mo 2.55
Ni4 0.5000 0.5000 0.5000  8 Ni 2.53-2.56, 4 Mo 2.59
Fe1 0.0000 0.0000 0.0000  10 Ni 2.51-2.59, 2 Mo 2.53
Ni5 0.9971 0.6675 0.6735  8 Ni 2.51-2.60, 1 Fe 2.51, 3 Mo 2.52-2.54
Ni6 0.2598 0.7452 0.2475  9 Ni 2.50-2.60, 2 Mo 2.52, 1 Fe 2.59
Mo1 0.2358 0.0895 0.5845  10 Ni 2.52-2.62, 1 Fe 2.53, 1 Mo 2.69
Ni7 0.0029 0.3325 0.3265  8 Ni 2.51-2.60, 1 Fe 2.51, 3 Mo 2.52-2.54
Mo2 0.7642 0.9105 0.4155  10 Ni 2.52-2.62, 1 Fe 2.53, 1 Mo 2.69
Ni8 0.7402 0.2548 0.7525  9 Ni 2.50-2.60, 2 Mo 2.52, 1 Fe 2.59
Ni9 0.4973 0.8363 0.8376  9 Ni 2.49-2.57, 1 Fe 2.53, 2 Mo 2.58-2.62

Summary:
The mass density is 9.18 g/cm3. As for the formation energy: -4 meV/atom.

=====

Entry 5:
## FeNi4Mo (GGA-PBE)

Data for a relaxed structure of FeNi4Mo.

Cell lengths 4.0368, 4.9404, 7.4496 Å; angles 70.63, 90.01, 90.04 degrees
Last column: nearest neighbours and their distance in Å.
Fractional coordinates of all 12 atoms:
Mo1 0.7500 0.3762 0.2477  2 Fe 2.47, 12 Ni 2.65-2.66
Ni1 0.2500 0.0387 0.4160  5 Ni 2.34-2.50
Mo2 0.2500 0.6238 0.7523  2 Fe 2.47, 12 Ni 2.65-2.66
Fe1 0.2500 0.1251 0.7498  2 Mo 2.47, 12 Ni 2.62-2.66
Ni2 0.2500 0.5454 0.4160  5 Ni 2.34-2.50
Ni3 0.2501 0.7167 0.0831  5 Ni 2.33-2.55
Fe2 0.7500 0.8749 0.2502  2 Mo 2.47, 12 Ni 2.62-2.66
Ni4 0.2499 0.2002 0.0831  5 Ni 2.33-2.55
Ni5 0.7500 0.4546 0.5840  5 Ni 2.34-2.50
Ni6 0.7500 0.9613 0.5840  5 Ni 2.34-2.50
Ni7 0.7501 0.7998 0.9169  5 Ni 2.33-2.55
Ni8 0.7499 0.2833 0.9169  5 Ni 2.33-2.55

Summary:
The mass density is 9.16 g/cm3. As for the formation energy: 15 meV/atom.

=====

Entry 6:
## Fe2NiMo (GGA-PBE)

Data for a relaxed structure of Fe2NiMo.

Cell lengths 4.0771, 2.5403, 4.9347 Å; angles 78.22, 90.00, 90.00 degrees
Last column: nearest neighbours and their distance in Å.
Fractional coordinates of all 4 atoms:
Ni1 0.5000 0.8302 0.7578  5 Fe 2.45-2.71, 2 Ni 2.54, 2 Mo 2.65
Mo1 0.0000 0.4739 0.5027  4 Fe 2.52-2.59, 2 Mo 2.54, 4 Ni 2.65-2.75
Fe1 0.5000 0.2139 0.2323  4 Fe 2.45-2.54, 3 Ni 2.54-2.71, 2 Mo 2.59
Fe2 0.0000 0.9820 0.0073  4 Fe 2.45-2.54, 2 Ni 2.45, 2 Mo 2.52-2.55

Summary:
The mass density is 8.84 g/cm3. As for the formation energy: 103 meV/atom.

=====

Entry 7:
## Fe2NiMo2 (GGA-PBE)

Data for a relaxed structure of Fe2NiMo2.

Cell lengths 6.7701, 6.7701, 2.8600 Å; angles 90.00, 90.00, 90.00 degrees
Last column: nearest neighbours and their distance in Å.
Fractional coordinates of all 10 atoms:
Ni1 0.5000 0.5000 0.0000  4 Fe 2.64, 2 Ni 2.86, 8 Mo 2.89
Mo1 0.1703 0.6703 0.5000  6 Fe 2.36-2.52
Fe1 0.6334 0.1334 0.0000  6 Mo 2.36-2.52, 1 Fe 2.55, 2 Ni 2.64
Mo2 0.8297 0.3297 0.5000  6 Fe 2.36-2.52
Mo3 0.3297 0.1703 0.5000  6 Fe 2.36-2.52
Fe2 0.8666 0.6334 0.0000  6 Mo 2.36-2.52, 1 Fe 2.55, 2 Ni 2.64
Mo4 0.6703 0.8297 0.5000  6 Fe 2.36-2.52
Ni2 0.0000 0.0000 0.0000  4 Fe 2.64, 2 Ni 2.86, 8 Mo 2.89
Fe3 0.3666 0.8666 0.0000  6 Mo 2.36-2.52, 1 Fe 2.55, 2 Ni 2.64
Fe4 0.1334 0.3666 0.0000  6 Mo 2.36-2.52, 1 Fe 2.55, 2 Ni 2.64

Summary:
The mass density is 9.18 g/cm3. As for the formation energy: 197 meV/atom.

=====

Entry 8:
## FeNi2Mo (GGA-PBE)

Data for a relaxed structure of FeNi2Mo.

Cell lengths 3.7114, 2.5777, 5.7415 Å; angles 63.34, 90.00, 90.00 degrees
Last column: nearest neighbours and their distance in Å.
Fractional coordinates of all 4 atoms:
Fe1 0.5000 0.2500 0.2500  2 Mo 2.57, 8 Ni 2.58, 2 Fe 2.58
Ni1 0.0000 0.9916 0.0088  4 Ni 2.48-2.66, 4 Fe 2.58, 4 Mo 2.62
Mo1 0.5000 0.7500 0.7500  2 Fe 2.57, 2 Mo 2.58, 8 Ni 2.62
Ni2 0.0000 0.5084 0.4912  4 Ni 2.48-2.66, 4 Fe 2.58, 4 Mo 2.62

Summary:
The mass density is 9.11 g/cm3. As for the formation energy: 9 meV/atom.

=====

Entry 9:
## Fe2NiMo (GGA-PBE)

Data for a relaxed structure of Fe2NiMo.

Cell lengths 4.1342, 4.1342, 4.1342 Å; angles 60.00, 60.00, 60.00 degrees
Last column: nearest neighbours and their distance in Å.
Fractional coordinates of all 4 atoms:
Ni1 0.2500 0.2500 0.2500  4 Fe 2.53, 4 Mo 2.53
Fe1 0.7500 0.7500 0.7500  4 Fe 2.53, 4 Mo 2.53
Fe2 0.0000 0.0000 0.0000  4 Fe 2.53, 4 Ni 2.53
Mo1 0.5000 0.5000 0.5000  4 Ni 2.53, 4 Fe 2.53

Summary:
The mass density is 8.85 g/cm3. As for the formation energy: 143 meV/atom.

=====

Entry 10:
## FeNi2Mo (GGA-PBE)

Data for a relaxed structure of FeNi2Mo.

Cell lengths 2.5930, 2.5931, 7.3656 Å; angles 90.00, 90.00, 90.00 degrees
Last column: nearest neighbours and their distance in Å.
Fractional coordinates of all 4 atoms:
Mo1 0.5000 0.5000 0.7500  4 Mo 2.59, 8 Ni 2.68
Ni1 0.0000 0.0000 0.0146  4 Fe 2.52, 4 Ni 2.59, 4 Mo 2.68
Ni2 0.0000 0.0000 0.4854  4 Fe 2.52, 4 Ni 2.59, 4 Mo 2.68
Fe1 0.5000 0.5000 0.2500  8 Ni 2.52, 4 Fe 2.59

Summary:
The mass density is 9.03 g/cm3. As for the formation energy: -8 meV/atom.

=====

Entry 11:
## Fe2NiMo (GGA-PBE)

Data for a relaxed structure of Fe2NiMo.

Cell lengths 8.8131, 8.8131, 8.8131 Å; angles 17.00, 17.00, 17.00 degrees
Last column: nearest neighbours and their distance in Å.
Fractional coordinates of all 4 atoms:
Fe1 0.4942 0.4942 0.4942  3 Ni 2.52, 6 Fe 2.61, 3 Mo 2.77
Ni1 0.7500 0.7500 0.7500  6 Fe 2.52, 6 Ni 2.61
Mo1 0.2500 0.2500 0.2500  6 Mo 2.61, 6 Fe 2.77
Fe2 0.0058 0.0058 0.0058  3 Ni 2.52, 6 Fe 2.61, 3 Mo 2.77

Summary:
The mass density is 8.66 g/cm3. As for the formation energy: 190 meV/atom.

=====

Entry 12:
## FeNi2Mo (GGA-PBE)

Data for a relaxed structure of FeNi2Mo.

Cell lengths 2.5941, 2.5941, 7.3523 Å; angles 90.00, 90.00, 90.00 degrees
Last column: nearest neighbours and their distance in Å.
Fractional coordinates of all 4 atoms:
Fe1 0.0000 0.0000 0.4773  4 Ni 2.48, 4 Fe 2.59, 4 Mo 2.76
Ni1 0.5000 0.5000 0.2495  4 Fe 2.48, 8 Ni 2.51-2.59
Ni2 0.0000 0.0000 0.0161  8 Ni 2.51-2.59, 4 Mo 2.64
Mo1 0.5000 0.5000 0.7573  4 Mo 2.59, 4 Ni 2.64, 4 Fe 2.76

Summary:
The mass density is 9.03 g/cm3. As for the formation energy: 29 meV/atom.

=====

Q: What is the formula in the third record?
A: Fe2NiMo

=====

Q: Which of these has the lowest mass density?
A: number 11